Entry from Alexandria via LeMat-Bulk: a relaxed TaB4 crystal (PBE-GGA).

The calculation puts the energy above the most stable polymorph in this dataset at 2305 meV per atom. As for the density of states at the Fermi level: 0.8 states/eV/f.u. The formation energy is 11.875 eV/f.u. Its calculated total energy is -26.7 eV per cell.

The structure belongs to space group Pm-3m (No. 221); the cell edges are 4.308, 4.308 and 4.308 Å and the angles 90.00°, 90.00° and 90.00°. The distinct sites, in fractional coordinates, are Ta at (0.000, 0.000, 0.000), B at (0.000, 0.000, 0.500) and B at (0.500, 0.500, 0.500).

***

Entry from Alexandria via LeMat-Bulk: a relaxed Tb5Bi2Pd crystal (PBE-GGA).

As for the density of states at the Fermi level: 9.2 states/eV/f.u. The formation energy is -1.918 eV/f.u. Its calculated total energy is -152.1 eV per cell.

The structure belongs to space group Cmcm (No. 63); the cell edges are 5.619, 15.422 and 13.622 Å and the angles 90.00°, 90.00° and 90.00°. The distinct sites, in fractional coordinates, are Tb at (0.000, 0.085, 0.115), Tb at (0.000, 0.284, 0.750), Tb at (0.000, 0.305, 0.043), Bi at (0.000, 0.120, 0.607) and Pd at (0.000, 0.221, 0.250).

***

Entry from Alexandria via LeMat-Bulk: a relaxed VSeSN2 crystal (PBE-GGA).

The calculation puts the energy above the most stable polymorph in this dataset at 973 meV per atom. As for the density of states at the Fermi level: 6.3 states/eV/f.u. Its calculated total energy is -25.9 eV per cell.

The structure belongs to space group P4/mmm (No. 123); the cell edges are 3.615, 3.615 and 4.797 Å and the angles 90.00°, 90.00° and 90.00°. The distinct sites, in fractional coordinates, are V at (0.000, 0.000, 0.000), Se at (0.500, 0.500, 0.000), S at (0.500, 0.500, 0.500) and N at (0.000, 0.500, 0.500).

***

Entry from Alexandria via LeMat-Bulk: a relaxed LiSnB crystal (PBE-GGA).

The calculation puts the energy above the most stable polymorph in this dataset at 212 meV per atom. As for the density of states at the Fermi level: 0.7 states/eV/f.u. The formation energy is 0.365 eV/f.u. Its calculated total energy is -48.9 eV per cell.

The structure belongs to space group C2/m (No. 12); the cell edges are 8.836, 3.593 and 6.109 Å and the angles 90.00°, 94.32° and 90.00°. The distinct sites, in fractional coordinates, are Li at (0.151, 0.000, 0.383), Sn at (0.128, 0.000, 0.853) and B at (0.053, 0.500, 0.611).